Entry from the Alexandria database: a geometry-optimized Cu3GeN structure (PBE).

a b c (Å): 4.551 4.551 4.551
angles (deg): 90.00 90.00 90.00
Fractional positions:
Ge 0.000 0.000 0.000
Cu 0.000 0.500 0.000
Cu 0.000 0.000 0.500
Cu 0.500 0.000 0.000
N 0.500 0.500 0.500

Results
DOS at the Fermi energy = 3.22 states/eV/f.u.
polymorph energy (0 for the lowest one) = 110.09 kJ per mole of atoms
uncorrected energy = -17.400 eV for the cell shown
ΔE_f (raw) = 1.566 eV per atom
M_tot = 2.8 μB per formula unit